Entry 1:
Cd3W: optimized geometry, GGA-PBE.

Lattice parameters (Å, degrees): 5.9700 5.9700 5.0221 90.00 90.00 120.00
With the nearest neighbours (Å) after each atom.
Fractional coordinates of all 8 atoms:
Cd 0.8300 0.1700 0.2500  8 Cd 2.93-3.07, 4 W 2.99-3.03
Cd 0.1700 0.8300 0.7500  8 Cd 2.93-3.07, 4 W 2.99-3.03
Cd 0.8300 0.6600 0.2500  8 Cd 2.93-3.07, 4 W 2.99-3.03
Cd 0.1700 0.3400 0.7500  8 Cd 2.93-3.07, 4 W 2.99-3.03
Cd 0.3400 0.1700 0.2500  8 Cd 2.93-3.07, 4 W 2.99-3.03
Cd 0.6600 0.8300 0.7500  8 Cd 2.93-3.07, 4 W 2.99-3.03
W 0.3333 0.6667 0.2500  12 Cd 2.99-3.03
W 0.6667 0.3333 0.7500  12 Cd 2.99-3.03

energy of formation = 0.699 eV per atom

---

Entry 2:
Er3AgPt2: optimized geometry, GGA-PBE.

Lattice parameters (Å, degrees): 3.5158 3.5158 10.4944 90.00 90.00 90.00
With the nearest neighbours (Å) after each atom.
Fractional coordinates of all 6 atoms:
Er 0.0000 0.0000 0.0000  8 Pt 3.02, 2 Er 3.36
Er 0.0000 0.0000 0.6798  4 Pt 2.98, 4 Ag 3.12
Er 0.0000 0.0000 0.3202  4 Pt 2.98, 4 Ag 3.12
Ag 0.5000 0.5000 0.5000  8 Er 3.12
Pt 0.5000 0.5000 0.8364  8 Er 2.98-3.02
Pt 0.5000 0.5000 0.1636  8 Er 2.98-3.02

energy of formation = -0.967 eV per atom